# 1
A plane-wave DFT calculation with SCAN was carried out for a PBEsol-optimized structure of TcSb5.

Cell and atoms, written as POSCAR:
```
TcSb5
1.0
0.000 4.281 4.281
4.281 0.000 4.281
4.281 4.281 0.000
Tc Sb
1 5
Direct
0.000 0.000 0.000
0.123 0.626 0.626
0.250 0.250 0.250
0.626 0.123 0.626
0.626 0.626 0.123
0.626 0.626 0.626
```

Summary:
- uncorrected energy (eV/atom) = -35.95
- D(E_F) (states/eV/f.u.) = 3.8
- M_tot (μB per atom) = 0.629
- calculated density (g cm⁻³) = 7.48
- excess energy over the best structure of this formula in the dataset (meV per atom) = 835

=====

# 2
A plane-wave DFT calculation with SCAN was carried out for a PBEsol-optimized structure of ZrTe2W.

Cell and atoms, written as POSCAR:
```
ZrTe2W
1.0
1.639 0.946 9.568
-1.639 0.946 9.568
0.000 -1.892 9.568
Zr Te W
1 2 1
Direct
0.000 0.000 0.000
0.409 0.409 0.409
0.591 0.591 0.591
0.500 0.500 0.500
```

Summary:
- uncorrected energy (eV/atom) = -43.21
- D(E_F) (states/eV/f.u.) = 4.6
- M_tot (μB per atom) = 0.000
- calculated density (g cm⁻³) = 9.89
- excess energy over the best structure of this formula in the dataset (meV per atom) = 473

=====

# 3
A plane-wave DFT calculation with SCAN was carried out for a PBEsol-optimized structure of MgAlSb2.

Cell and atoms, written as POSCAR:
```
MgAlSb2
1.0
3.885 0.000 0.000
-1.937 3.377 0.000
-0.002 -2.240 7.337
Mg Al Sb
1 1 2
Direct
0.000 0.000 0.000
0.500 0.000 0.500
0.243 0.487 0.730
0.757 0.513 0.270
```

Summary:
- uncorrected energy (eV/atom) = -21.89
- D(E_F) (states/eV/f.u.) = 1.7
- M_tot (μB per atom) = 0.000
- calculated density (g cm⁻³) = 5.08
- excess energy over the best structure of this formula in the dataset (meV per atom) = 0